Record 1
# YTaW2

YTaW2 after structural relaxation (PBE, Alexandria via LeMat-Bulk).

a = 2.8961 Å, b = 2.8961 Å, c = 9.7617 Å
α = 90.00°, β = 90.00°, γ = 111.49°
Closest atoms and distances in Å follow each position.
Fractional coordinates of all 4 atoms:
W: 0.0000 0.0000 0.0073  6 W 2.66-2.90, 2 Ta 2.75
W: 0.5000 0.5000 0.2225  6 W 2.66-2.90
Y: 0.0000 0.0000 0.4897  4 Y 2.90, 2 W 3.08
Ta: 0.5000 0.5000 0.7804  2 W 2.75, 4 Ta 2.90

## Properties
Space group   Cmm2
Total moment   0.000 μB per cell
D(E_F)   1.016 states/eV/atom
Energy above the lowest structure with this stoichiometry   0.87 kcal/mol of atoms
Electronic total energy   -10.71 eV/atom


Record 2
# PmReSi3Rh

PmReSi3Rh after structural relaxation (PBE, Alexandria via LeMat-Bulk).

a = 5.5709 Å, b = 7.5511 Å, c = 6.7936 Å
α = 123.76°, β = 90.00°, γ = 90.00°
Closest atoms and distances in Å follow each position.
Fractional coordinates of all 12 atoms:
Pm: 0.7500 0.2536 0.5073  2 Si 2.79
Pm: 0.2500 0.7464 0.4927  2 Si 2.79
Si: 0.7500 0.7479 0.4958  1 Rh 2.20, 1 Re 2.25
Si: 0.2500 0.2521 0.5042  1 Rh 2.20, 1 Re 2.25
Si: 0.5000 0.2514 0.0000  2 Rh 2.41, 2 Re 2.43
Si: 0.0000 0.2514 0.0000  2 Rh 2.41, 2 Re 2.43
Si: 0.5000 0.7486 0.0000  2 Rh 2.41, 2 Re 2.43
Si: 0.0000 0.7486 0.0000  2 Rh 2.41, 2 Re 2.43
Re: 0.7500 0.9472 0.8945  5 Si 2.25-2.43
Re: 0.2500 0.0528 0.1055  5 Si 2.25-2.43
Rh: 0.7500 0.5529 0.1059  5 Si 2.20-2.41
Rh: 0.2500 0.4471 0.8941  5 Si 2.20-2.41

## Properties
Space group   Cmcm
Total moment   0.000 μB per cell
D(E_F)   0.375 states/eV/atom
Electronic total energy   -7.21 eV/atom


- What is the electronic total energy in the second record?
  -7.21 eV/atom